A plane-wave DFT calculation with PBE was carried out for Dy4ZnHg5 after structural relaxation.

Unit cell a=3.7080 b=3.7080 c=17.8571 alpha=90.00 beta=90.00 gamma=90.00
With the nearest neighbours (Å) after each atom.
Fractional coordinates of all 10 atoms:
Dy  0.0000  0.0000  0.1862  8 Hg 3.16-3.24, 1 Zn 3.32
Dy  0.0000  0.0000  0.3954  8 Hg 3.20-3.22
Dy  0.0000  0.0000  0.6046  8 Hg 3.20-3.22
Dy  0.0000  0.0000  0.8138  8 Hg 3.16-3.24, 1 Zn 3.32
Zn  0.0000  0.0000  0.0000  8 Hg 3.05, 2 Dy 3.32
Hg  0.5000  0.5000  0.0870  4 Zn 3.05, 1 Hg 3.11, 4 Dy 3.16
Hg  0.5000  0.5000  0.2930  8 Dy 3.20-3.24
Hg  0.5000  0.5000  0.5000  8 Dy 3.22
Hg  0.5000  0.5000  0.7070  8 Dy 3.20-3.24
Hg  0.5000  0.5000  0.9130  4 Zn 3.05, 1 Hg 3.11, 4 Dy 3.16

## Properties
* final energy: -2.50 eV per atom
* size of the total moment: 0.002 μB/cell
* E above lowest polymorph: 34 meV per atom
* ΔE_f: -0.377 eV/atom
* SG: No. 123

A plane-wave DFT calculation with PBE was carried out for TbMgCd2 after structural relaxation.

Unit cell a=3.3999 b=3.3999 c=8.1890 alpha=90.00 beta=90.00 gamma=90.00
With the nearest neighbours (Å) after each atom.
Fractional coordinates of all 4 atoms:
Mg  0.5000  0.5000  0.0000  8 Cd 3.06, 4 Mg 3.40
Tb  0.5000  0.5000  0.5000  8 Cd 3.26, 4 Tb 3.40
Cd  0.0000  0.0000  0.7686  4 Mg 3.06, 4 Tb 3.26, 4 Cd 3.40
Cd  0.0000  0.0000  0.2314  4 Mg 3.06, 4 Tb 3.26, 4 Cd 3.40

## Properties
* final energy: -2.25 eV per atom
* size of the total moment: 0.307 μB/cell
* ΔE_f: -0.236 eV/atom
* SG: No. 123

A plane-wave DFT calculation with PBE was carried out for CeGa2HPt2 after structural relaxation.

Unit cell a=4.1184 b=4.1184 c=7.0012 alpha=107.10 beta=107.10 gamma=90.00
With the nearest neighbours (Å) after each atom.
Fractional coordinates of all 6 atoms:
Ce  0.5000  0.5000  0.0000  4 H 2.91
Ga  0.2500  0.7500  0.5000  4 Pt 2.54
Ga  0.7500  0.2500  0.5000  4 Pt 2.54
H  0.0000  0.0000  0.0000  2 Pt 1.69
Pt  0.8671  0.8671  0.7341  1 H 1.69
Pt  0.1329  0.1329  0.2659  1 H 1.69

## Properties
* final energy: -5.22 eV per atom
* size of the total moment: 0.930 μB/cell
* SG: No. 139

A plane-wave DFT calculation with PBE was carried out for InCO2F after structural relaxation.

Unit cell a=4.1943 b=4.1943 c=4.0945 alpha=90.00 beta=90.00 gamma=90.00
With the nearest neighbours (Å) after each atom.
Fractional coordinates of all 5 atoms:
C  0.5000  0.5000  0.5000  8 O 2.93, 4 F 2.97
F  0.0000  0.0000  0.5000  2 In 2.05
O  0.0000  0.5000  0.0000  2 In 2.10
O  0.5000  0.0000  0.0000  2 In 2.10
In  0.0000  0.0000  0.0000  2 F 2.05, 4 O 2.10

## Properties
* final energy: -4.07 eV per atom
* size of the total moment: 0.000 μB/cell
* SG: No. 123

A plane-wave DFT calculation with PBE was carried out for RbNa3B after structural relaxation.

Unit cell a=6.5226 b=6.5226 c=6.5226 alpha=90.00 beta=90.00 gamma=90.00
With the nearest neighbours (Å) after each atom.
Fractional coordinates of all 5 atoms:
Na  0.0000  0.5000  0.0000  2 Rb 3.26
Na  0.0000  0.0000  0.5000  2 Rb 3.26
Na  0.5000  0.0000  0.0000  2 Rb 3.26
B  0.5000  0.5000  0.5000  12 Na 4.61
Rb  0.0000  0.0000  0.0000  6 Na 3.26

## Properties
* final energy: -0.79 eV per atom
* size of the total moment: 0.650 μB/cell
* E above lowest polymorph: 906 meV per atom
* ΔE_f: 1.528 eV/atom
* SG: No. 221

A plane-wave DFT calculation with PBE was carried out for ZnReAg2I after structural relaxation.

Unit cell a=4.9288 b=5.5838 c=4.9288 alpha=90.00 beta=90.00 gamma=90.00
With the nearest neighbours (Å) after each atom.
Fractional coordinates of all 5 atoms:
I  0.0000  0.5000  0.0000  2 Zn 2.79
Re  0.5000  0.5000  0.5000  4 I 3.49, 8 Ag 3.72
Zn  0.0000  0.0000  0.0000  4 Ag 2.46
Ag  0.0000  0.0000  0.5000  2 Zn 2.46
Ag  0.5000  0.0000  0.0000  2 Zn 2.46

## Properties
* final energy: -2.61 eV per atom
* size of the total moment: 4.842 μB/cell
* SG: No. 123

A plane-wave DFT calculation with PBE was carried out for BaSrNCl after structural relaxation.

Unit cell a=4.0241 b=4.0241 c=7.7760 alpha=75.00 beta=75.00 gamma=60.00
With the nearest neighbours (Å) after each atom.
Fractional coordinates of all 4 atoms:
Ba  0.7287  0.7287  0.8139  3 N 2.75
Sr  0.2678  0.2678  0.1965  3 N 2.69
N  0.9958  0.9958  0.0127  3 Sr 2.69, 3 Ba 2.75
Cl  0.5077  0.5077  0.4769  3 Sr 3.12, 3 Ba 3.41

## Properties
* final energy: -4.80 eV per atom
* size of the total moment: 0.082 μB/cell
* SG: No. 160

A plane-wave DFT calculation with PBE was carried out for Tc2MoSI after structural relaxation.

Unit cell a=4.4575 b=4.5535 c=4.4575 alpha=90.00 beta=90.00 gamma=90.00
With the nearest neighbours (Å) after each atom.
Fractional coordinates of all 5 atoms:
I  0.5000  0.5000  0.5000  4 Mo 3.15, 8 Tc 3.19
Mo  0.0000  0.5000  0.0000  2 S 2.28
S  0.0000  0.0000  0.0000  4 Tc 2.23, 2 Mo 2.28
Tc  0.0000  0.0000  0.5000  2 S 2.23
Tc  0.5000  0.0000  0.0000  2 S 2.23

## Properties
* final energy: -6.57 eV per atom
* size of the total moment: 1.162 μB/cell
* SG: No. 123

A plane-wave DFT calculation with PBE was carried out for LaZn3Ru after structural relaxation.

Unit cell a=5.2844 b=5.9532 c=6.7624 alpha=116.11 beta=90.00 gamma=90.00
With the nearest neighbours (Å) after each atom.
Fractional coordinates of all 10 atoms:
La  0.2500  0.3919  0.7838  10 Zn 3.13-3.48
La  0.7500  0.6081  0.2162  10 Zn 3.13-3.48
Zn  0.2500  0.8086  0.6173  2 Zn 2.56, 2 Ru 2.67
Zn  0.7500  0.1914  0.3827  2 Zn 2.56, 2 Ru 2.67
Zn  0.2500  0.3742  0.2911  2 Zn 2.56-2.72, 2 Ru 2.59
Zn  0.7500  0.6258  0.7089  2 Zn 2.56-2.72, 2 Ru 2.59
Zn  0.2500  0.9169  0.2911  2 Zn 2.56-2.72, 2 Ru 2.59
Zn  0.7500  0.0831  0.7089  2 Zn 2.56-2.72, 2 Ru 2.59
Ru  0.0000  0.0000  0.0000  6 Zn 2.59-2.67, 2 Ru 2.64
Ru  0.5000  0.0000  0.0000  6 Zn 2.59-2.67, 2 Ru 2.64

## Properties
* final energy: -3.82 eV per atom
* size of the total moment: 0.000 μB/cell
* E above lowest polymorph: 21 meV per atom
* ΔE_f: -0.218 eV/atom
* SG: No. 63

A plane-wave DFT calculation with PBE was carried out for Tb4PrTh3 after structural relaxation.

Unit cell a=6.2133 b=6.2191 c=8.7595 alpha=118.28 beta=118.15 gamma=70.59
With the nearest neighbours (Å) after each atom.
Fractional coordinates of all 8 atoms:
Pr  0.5000  0.0000  0.0000  6 Th 3.56-3.59, 6 Tb 3.58-3.62
Tb  0.7534  0.2533  0.5067  5 Th 3.52-3.63, 6 Tb 3.56-3.62, 1 Pr 3.62
Tb  0.2466  0.7467  0.4933  5 Th 3.52-3.63, 6 Tb 3.56-3.62, 1 Pr 3.62
Tb  0.3756  0.3750  0.7506  5 Tb 3.56-3.62, 5 Th 3.58-3.61, 2 Pr 3.58
Tb  0.6244  0.6250  0.2494  5 Tb 3.56-3.62, 5 Th 3.58-3.61, 2 Pr 3.58
Th  0.0000  0.5000  0.0000  6 Tb 3.52-3.58, 4 Th 3.57, 2 Pr 3.59
Th  0.8773  0.8775  0.7547  3 Th 3.50-3.57, 2 Pr 3.56-3.57, 7 Tb 3.58-3.63
Th  0.1227  0.1225  0.2453  3 Th 3.50-3.57, 2 Pr 3.56-3.57, 7 Tb 3.58-3.63

## Properties
* final energy: -5.64 eV per atom
* size of the total moment: 0.000 μB/cell
* ΔE_f: 0.055 eV/atom
* SG: No. 2

A plane-wave DFT calculation with PBE was carried out for TiSbO3 after structural relaxation.

Unit cell a=3.9106 b=3.9106 c=3.9106 alpha=90.00 beta=90.00 gamma=90.00
With the nearest neighbours (Å) after each atom.
Fractional coordinates of all 5 atoms:
Sb  0.5000  0.5000  0.5000  12 O 2.77
O  0.0000  0.5000  0.0000  2 Ti 1.96
O  0.0000  0.0000  0.5000  2 Ti 1.96
O  0.5000  0.0000  0.0000  2 Ti 1.96
Ti  0.0000  0.0000  0.0000  6 O 1.96

## Properties
* final energy: -7.20 eV per atom
* size of the total moment: 0.000 μB/cell
* SG: No. 221

A plane-wave DFT calculation with PBE was carried out for Dy3TePd12 after structural relaxation.

Unit cell a=4.1115 b=4.1115 c=16.4607 alpha=90.00 beta=90.00 gamma=90.00
With the nearest neighbours (Å) after each atom.
Fractional coordinates of all 16 atoms:
Dy  0.0000  0.0000  0.2516  12 Pd 2.88-2.97
Dy  0.0000  0.0000  0.5000  12 Pd 2.91-2.92
Dy  0.0000  0.0000  0.7484  12 Pd 2.88-2.97
Te  0.0000  0.0000  0.0000  12 Pd 2.87-2.91
Pd  0.5000  0.5000  0.0000  8 Pd 2.87, 4 Te 2.91
Pd  0.5000  0.5000  0.2458  8 Pd 2.90-2.95, 4 Dy 2.91
Pd  0.5000  0.5000  0.5000  4 Dy 2.91, 8 Pd 2.92
Pd  0.5000  0.5000  0.7542  8 Pd 2.90-2.95, 4 Dy 2.91
Pd  0.5000  0.0000  0.1215  2 Te 2.87, 8 Pd 2.87-2.91, 2 Dy 2.97
Pd  0.5000  0.0000  0.3742  4 Dy 2.88-2.92, 8 Pd 2.91-2.95
Pd  0.5000  0.0000  0.6258  4 Dy 2.88-2.92, 8 Pd 2.91-2.95
Pd  0.5000  0.0000  0.8785  2 Te 2.87, 8 Pd 2.87-2.91, 2 Dy 2.97
Pd  0.0000  0.5000  0.1215  2 Te 2.87, 8 Pd 2.87-2.91, 2 Dy 2.97
Pd  0.0000  0.5000  0.3742  4 Dy 2.88-2.92, 8 Pd 2.91-2.95
Pd  0.0000  0.5000  0.6258  4 Dy 2.88-2.92, 8 Pd 2.91-2.95
Pd  0.0000  0.5000  0.8785  2 Te 2.87, 8 Pd 2.87-2.91, 2 Dy 2.97

## Properties
* final energy: -5.66 eV per atom
* size of the total moment: 0.000 μB/cell
* SG: No. 123